1.
CoAgGeOs | PBE-GGA | optimized geometry

Computed properties:
As for the distance to the lowest polymorph of the same formula: 0 meV per atom.

Geometry as POSCAR:
```
CoAgGeOs
1.0
-0.527 -3.729 2.115
-2.863 -0.269 3.223
-3.629 -2.284 -0.520
Ag Os Ge Co
1 1 1 1
Cartesian
-3.510 -3.141 2.409
-1.755 -1.571 1.205
0.000 0.000 0.000
-5.265 -4.712 3.614
```

---

2.
Ho4CoCu3 | PBE-GGA | optimized geometry

Computed properties:
The calculation puts the electronic total energy at -38.7 eV/cell.

Geometry as POSCAR:
```
Ho4CoCu3
1.0
-3.493 4.083 0.036
-0.729 -0.587 -4.266
-5.209 -4.486 1.507
Cu Ho Co
3 4 1
Cartesian
-5.466 -3.818 1.459
-3.571 3.133 -2.056
-5.358 -0.128 -1.302
-4.358 -2.724 -1.116
-6.425 -1.070 1.245
-2.640 0.318 -1.828
-4.728 2.092 0.520
-3.720 -0.591 0.717
```

---

3.
CsYTe3Pt | PBE-GGA | optimized geometry

Computed properties:
As for the distance to the lowest polymorph of the same formula: 49 meV per atom.

Geometry as POSCAR:
```
CsYTe3Pt
1.0
2.154 -9.305 0.000
2.154 9.305 0.000
0.000 0.000 10.552
Pt Te Cs Y
2 6 2 2
Cartesian
2.154 9.195 2.638
2.154 -9.195 7.914
2.154 7.241 0.833
2.154 -7.241 6.109
2.154 -7.241 9.719
2.154 7.241 4.443
2.154 -1.549 7.914
2.154 1.549 2.638
2.154 -4.644 2.638
2.154 4.644 7.914
2.154 0.000 5.276
2.154 0.000 0.000
```

---

4.
TbCdTe3Pb | PBE-GGA | optimized geometry

Computed properties:
The calculation puts the electronic total energy at -45.4 eV/cell.

Geometry as POSCAR:
```
TbCdTe3Pb
1.0
1.426 6.857 3.400
-2.948 -3.733 -6.162
-10.089 -0.423 5.084
Te Pb Cd Tb
6 2 2 2
Cartesian
-9.757 2.693 4.857
-6.578 5.481 6.257
-5.631 2.866 2.778
-5.981 -0.166 -0.457
-1.854 0.007 -2.536
-5.034 -2.781 -3.936
-9.588 -1.805 -0.322
-2.024 4.505 2.643
-8.216 1.515 2.676
-3.396 1.185 -0.355
-5.044 -0.212 2.542
0.000 0.000 0.000
```

---

5.
GdDyIn | PBE-GGA | optimized geometry

Computed properties:
As for the distance to the lowest polymorph of the same formula: 0 meV per atom.

Geometry as POSCAR:
```
GdDyIn
1.0
5.413 0.000 0.000
-2.707 4.688 0.000
0.000 0.000 6.749
In Dy Gd
2 2 2
Cartesian
2.707 1.563 5.062
0.000 3.125 1.687
0.000 0.000 3.375
0.000 0.000 0.000
0.000 3.125 5.062
2.707 1.563 1.687
```

---

6.
Nd4Er11S22 | PBE-GGA | optimized geometry

Computed properties:
The calculation puts the electronic total energy at -237.7 eV/cell.

Geometry as POSCAR:
```
Nd4Er11S22
1.0
-9.515 1.099 -17.093
-12.270 -1.008 -15.243
-4.845 9.556 3.669
S Nd Er
22 4 11
Cartesian
-12.431 5.105 -12.696
-12.143 0.118 -17.946
-7.562 9.123 -0.869
-22.876 2.579 -31.127
-14.487 9.528 -10.720
-8.555 5.946 -5.967
-10.504 5.699 -9.150
-19.068 0.524 -27.797
-21.601 7.804 -23.276
-6.828 6.235 -3.065
-19.802 3.412 -25.601
-6.537 0.896 -8.714
-23.483 7.209 -26.757
-14.199 4.542 -15.970
-5.030 1.842 -5.391
-20.093 8.751 -19.952
-16.362 6.852 -16.559
-3.754 7.068 2.460
-16.126 3.948 -19.516
-18.075 3.700 -22.700
-10.268 2.795 -12.107
-3.147 2.438 -1.909
-14.510 1.501 -19.897
-4.765 4.903 -1.512
-12.120 8.145 -8.769
-21.865 4.744 -27.155
-13.784 7.398 -12.099
-18.211 7.716 -18.329
-8.419 1.931 -10.337
-20.082 5.404 -23.748
-20.943 1.424 -29.563
-16.741 1.477 -23.246
-9.889 8.169 -5.421
-2.423 4.778 1.834
-12.846 2.249 -16.568
-5.687 8.222 0.896
-6.548 4.242 -4.918
```

---

7.
FeSn2N2 | PBE-GGA | optimized geometry

Computed properties:
The calculation puts the electronic total energy at -61.9 eV/cell.

Geometry as POSCAR:
```
FeSn2N2
1.0
-5.004 3.080 -0.680
-4.598 0.307 3.709
5.642 3.093 1.432
N Fe Sn
4 2 4
Cartesian
-3.374 1.864 1.490
1.992 2.527 1.412
-5.953 3.953 3.049
-0.587 4.616 2.971
0.945 3.801 2.315
-4.905 2.679 2.147
4.153 2.434 1.154
-1.095 1.998 1.364
-2.865 4.482 3.097
-8.113 4.046 3.308
```

---

8.
Pd17Pb | PBE-GGA | optimized geometry

Computed properties:
The calculation puts the electronic total energy at -182.8 eV/cell.

Geometry as POSCAR:
```
Pd17Pb
1.0
4.800 0.000 0.000
0.000 5.561 0.000
-0.070 0.000 30.944
Pd Pb
34 2
Cartesian
4.762 0.000 15.469
0.751 4.192 24.614
3.978 4.150 6.330
0.756 1.391 17.748
3.158 0.000 24.612
2.365 1.390 15.472
0.751 1.369 24.614
3.155 2.781 17.746
-0.032 2.781 15.474
0.001 0.000 8.612
3.974 1.389 13.196
0.786 4.173 10.911
3.944 4.168 20.033
2.345 1.397 22.328
2.384 4.178 8.616
-0.050 0.000 22.304
1.550 2.781 20.034
1.574 0.000 13.198
3.160 0.000 17.753
0.756 4.170 17.748
3.944 1.393 20.033
4.729 2.781 22.332
2.345 4.164 22.328
1.543 0.000 20.018
1.570 2.781 13.191
3.187 2.781 10.926
3.179 0.000 10.910
3.974 4.172 13.196
2.365 4.171 15.472
1.572 2.781 6.332
2.384 1.383 8.616
4.780 2.781 8.640
3.978 1.411 6.330
0.786 1.388 10.911
3.149 2.781 24.960
1.580 0.000 5.987
```

---

9.
Sr7Ag3 | PBE-GGA | optimized geometry

Computed properties:
The calculation puts the electronic total energy at -44.7 eV/cell.

Geometry as POSCAR:
```
Sr7Ag3
1.0
11.286 0.000 0.000
-5.643 9.774 0.000
0.000 0.000 7.211
Ag Sr
6 14
Cartesian
0.000 3.701 5.990
-2.438 7.924 5.990
5.643 6.073 2.385
8.081 1.850 2.385
2.438 7.924 5.990
3.205 1.850 2.385
5.643 0.804 0.402
0.000 6.516 0.398
3.533 8.556 1.854
5.643 3.258 4.004
0.000 8.970 4.008
-3.533 8.556 1.854
2.125 5.289 4.008
2.110 1.218 5.459
9.176 1.218 5.459
3.518 4.485 0.402
0.000 2.437 1.854
-2.125 5.289 4.008
5.643 7.337 5.459
7.768 4.485 0.402
```

---

10.
Er2TmMg4In2 | PBE-GGA | optimized geometry

Computed properties:
The calculation puts the electronic total energy at -27.6 eV/cell.

Geometry as POSCAR:
```
Er2TmMg4In2
1.0
-0.878 4.524 0.425
-7.340 -1.338 -0.932
2.976 -0.071 6.905
Tm Er Mg In
1 2 4 2
Cartesian
-2.451 -0.791 3.355
1.302 -0.032 3.027
-3.217 -0.586 -0.406
-4.360 -1.407 5.967
-1.498 1.920 1.662
-5.996 1.249 -0.493
1.814 2.208 5.440
-4.339 1.347 1.898
-0.907 1.768 4.505
```

---

11.
Nd2Cu3Ge5 | PBE-GGA | optimized geometry

Computed properties:
The calculation puts the electronic total energy at -95.8 eV/cell.

Geometry as POSCAR:
```
Nd2Cu3Ge5
1.0
6.049 0.000 0.000
-2.990 7.876 0.000
-2.990 -1.588 7.715
Ge Cu Nd
10 6 4
Cartesian
1.548 0.497 6.015
-1.478 5.791 1.700
-2.988 6.215 5.713
3.056 0.073 2.002
-1.476 3.089 3.903
0.031 1.948 0.474
1.546 3.199 3.812
1.547 5.714 1.763
-1.478 0.574 5.952
0.037 4.340 7.241
-2.904 5.115 3.598
1.547 -1.564 7.695
-1.478 7.852 0.020
-0.051 3.797 1.979
2.974 1.173 4.117
0.120 2.491 5.736
0.016 0.403 3.071
0.053 5.885 4.643
3.040 2.927 1.014
-2.971 3.361 6.700
```

---

12.
PrTaGa | PBE-GGA | optimized geometry

Computed properties:
As for the distance to the lowest polymorph of the same formula: 816 meV per atom.

Geometry as POSCAR:
```
PrTaGa
1.0
-4.498 -1.904 0.662
-3.597 0.998 -3.219
-1.653 -3.527 -3.021
Pr Ga Ta
1 1 1
Cartesian
0.000 0.000 0.000
-2.437 -1.108 -1.395
-7.311 -3.325 -4.184
```

---

13.
BaAuO3 | PBE-GGA | optimized geometry

Computed properties:
The calculation puts the electronic total energy at -47.7 eV/cell.

Geometry as POSCAR:
```
BaAuO3
1.0
0.803 5.654 -2.796
4.530 0.586 -4.423
-1.753 0.662 -6.076
Ba Au O
2 2 6
Cartesian
0.000 0.000 0.000
1.790 3.451 -6.648
0.895 1.726 -3.324
2.685 5.177 -9.971
4.322 3.812 -7.265
-0.742 3.090 -6.030
0.942 5.902 -7.091
2.639 1.000 -6.205
2.579 4.537 -4.385
1.001 2.365 -8.911
```

---

14.
Cs2KRb2CuSb2 | PBE-GGA | optimized geometry

Computed properties:
As for the distance to the lowest polymorph of the same formula: 30 meV per atom.

Geometry as POSCAR:
```
Cs2KRb2CuSb2
1.0
3.178 1.835 9.828
-3.178 1.835 9.828
0.000 -3.670 9.828
Cs Cu Sb Rb K
2 1 2 2 1
Cartesian
0.000 0.000 6.367
0.000 0.000 23.117
0.000 0.000 0.000
0.000 0.000 2.502
0.000 0.000 26.982
0.000 0.000 18.818
0.000 0.000 10.666
0.000 0.000 14.742
```

---

15.
Tc2TeCS | PBE-GGA | optimized geometry

Computed properties:
The calculation puts the electronic total energy at -37.3 eV/cell.

Geometry as POSCAR:
```
Tc2TeCS
1.0
-0.047 -1.174 -3.116
-2.451 -0.787 2.113
-4.782 7.498 -2.753
S Te Tc C
1 1 2 1
Cartesian
-4.266 4.315 -3.341
-3.145 1.429 -0.491
-5.783 5.567 -2.010
-1.251 -0.413 -1.605
-0.113 0.177 -0.065
```

---

16.
LiTcSb | PBE-GGA | optimized geometry

Computed properties:
As for the distance to the lowest polymorph of the same formula: 0 meV per atom.

Geometry as POSCAR:
```
LiTcSb
1.0
0.000 3.070 3.070
3.070 0.000 3.070
3.070 3.070 0.000
Sb Li Tc
1 1 1
Cartesian
0.000 0.000 0.000
1.535 1.535 1.535
4.604 4.604 4.604
```

---

17.
SmTmOs | PBE-GGA | optimized geometry

Computed properties:
As for the distance to the lowest polymorph of the same formula: 0 meV per atom.

Geometry as POSCAR:
```
SmTmOs
1.0
4.196 -2.103 -0.428
2.196 -1.677 3.818
0.381 -4.652 0.646
Tm Sm Os
1 1 1
Cartesian
0.000 0.000 0.000
5.079 -6.324 3.027
1.693 -2.108 1.009
```

---

18.
TcF2 | PBE-GGA | optimized geometry

Computed properties:
As for the distance to the lowest polymorph of the same formula: 1060 meV per atom.

Geometry as POSCAR:
```
TcF2
1.0
0.000 3.095 3.095
3.095 0.000 3.095
3.095 3.095 0.000
Tc F
2 4
Cartesian
0.000 0.000 0.000
1.548 1.548 1.548
3.869 2.322 2.322
2.322 3.869 2.322
2.322 2.322 3.869
3.869 3.869 3.869
```

---

19.
AlTcGe | PBE-GGA | optimized geometry

Computed properties:
As for the distance to the lowest polymorph of the same formula: 0 meV per atom.

Geometry as POSCAR:
```
AlTcGe
1.0
0.233 -4.593 1.025
0.134 -1.543 4.450
-2.474 2.959 -2.707
Ge Tc Al
1 1 1
Cartesian
0.228 -3.820 3.408
0.103 -1.718 1.533
0.347 -5.814 5.187
```

---

20.
CsTb2CuSe3S | PBE-GGA | optimized geometry

Computed properties:
The calculation puts the electronic total energy at -81.4 eV/cell.

Geometry as POSCAR:
```
CsTb2CuSe3S
1.0
-2.570 6.041 -3.793
-1.069 -7.182 2.183
-6.671 4.588 11.827
S Tb Se Cu Cs
2 4 6 2 2
Cartesian
-6.946 3.964 7.571
-3.363 -0.516 2.646
-5.801 3.795 5.101
-2.065 -2.028 0.783
-8.245 5.476 9.434
-4.509 -0.347 5.116
-5.515 -0.958 7.824
-7.408 0.344 11.180
-3.335 2.294 5.913
-2.901 3.103 -0.963
-4.794 4.405 2.394
0.000 0.000 0.000
-6.314 -1.603 10.087
-3.995 5.050 0.130
-2.889 -4.690 4.532
-7.420 8.138 5.685
```